This record from the Alexandria database describes a relaxed structure of CuPtS. The functional is PBE.

Cell and atoms, written as POSCAR:
```
CuPtS
1.0
-6.9047 3.3109 1.4072
-0.8704 -0.3616 -3.4202
-2.7375 -6.7262 1.4078
S Cu Pt
4 4 4
direct
0.6580 0.0000 0.6863
0.6580 0.5000 0.1863
0.2130 0.0000 0.5376
0.2130 0.5000 0.0376
0.4784 0.0000 0.1798
0.4784 0.5000 0.6798
0.7795 0.0000 0.9707
0.7795 0.5000 0.4707
0.9527 0.0000 0.6680
0.9527 0.5000 0.1680
0.2808 0.0000 0.8474
0.2808 0.5000 0.3474
```

Results
DOS(E_F) in states/eV per cell: 7.1
Symmetry: No. 8
Final energy in eV/atom: -4.746